Zn2InIr: optimized geometry, GGA-PBE.

## Properties
The total energy comes out at -14.586 eV per cell. The density of states at the Fermi level is 1.26 states/eV/f.u. Its space-group type is I-4m2, No. 119. The value obtained for the formation enthalpy at 0 K is -110 meV/atom.

Cell lengths 4.9694, 4.9694, 4.9694 Å; angles 133.38, 133.37, 68.07 degrees
Last column: nearest neighbours and their distance in Å.
Fractional coordinates of all 4 atoms:
Zn1 0.7500 0.2500 0.5000  4 Ir 2.78, 4 Zn 2.85, 4 In 2.85
Zn2 0.0001 0.0001 0.0000  4 In 2.78, 4 Ir 2.85, 4 Zn 2.85
In1 0.5000 0.5000 0.0000  8 Zn 2.78-2.85, 4 Ir 2.85
Ir1 0.2500 0.7500 0.5000  8 Zn 2.78-2.85, 4 In 2.85